{"formula": "V2HgWO8", "functional": "PBE with a Hubbard U", "state": "optimized geometry", "dft_energy_ry_per_atom": -0.5026, "dos_at_fermi_per_ev_cell": 0.638, "space_group": "P-3m1 (164)", "lattice_angstrom": [[-3.1126, -2.2490, -4.1805], [5.4233, 1.3927, -0.9332], [2.5634, -8.2771, 2.5443]], "species": ["V", "V", "Hg", "W", "O", "O", "O", "O", "O", "O", "O", "O"], "frac_coords": [[0.3333, 0.6667, 0.8104], [0.6667, 0.3333, 0.1896], [0.0000, 0.0000, 0.5000], [0.0000, 0.0000, 0.0000], [0.1609, 0.3218, 0.8767], [0.1609, 0.8391, 0.8767], [0.6782, 0.8391, 0.8767], [0.3218, 0.1609, 0.1233], [0.6667, 0.3333, 0.3680], [0.3333, 0.6667, 0.6320], [0.8391, 0.6782, 0.1233], [0.8391, 0.1609, 0.1233]]}